#one
TcHg2Br: relaxed, GGA-PBEsol.

Unit cell a=4.832 b=4.832 c=4.832 alpha=60.00 beta=60.00 gamma=60.00
Atoms (fractional coordinates):
Tc 0.000 0.000 0.000
Hg 0.250 0.250 0.250
Hg 0.500 0.500 0.500
Br 0.750 0.750 0.750

Results
Space group: F-43m (216)

***

#two
TcHg2Br: relaxed, GGA-PBEsol.

Unit cell a=3.027 b=3.027 c=9.000 alpha=90.00 beta=90.00 gamma=90.00
Atoms (fractional coordinates):
Tc 0.000 0.000 0.000
Hg 0.000 0.000 0.487
Hg 0.500 0.500 0.770
Br 0.500 0.500 0.148

Results
Space group: P4mm (99)

***

Which one is most stable, and which one is least stable? #two is the most stable of them, while #one is the least stable.

***

#one
TlHg2Br: relaxed, GGA-PBEsol.

Unit cell a=6.742 b=6.699 c=4.406 alpha=71.39 beta=70.34 gamma=38.27
Atoms (fractional coordinates):
Tl 0.000 0.000 0.000
Hg 0.000 0.500 0.500
Hg 0.500 0.000 0.000
Br 0.500 0.500 0.500

Results
Space group: Fmmm (69)

***

#two
TlHg2Br: relaxed, GGA-PBEsol.

Unit cell a=5.175 b=5.175 c=5.731 alpha=116.30 beta=116.30 gamma=59.32
Atoms (fractional coordinates):
Tl 0.000 0.000 0.000
Hg 0.246 0.246 0.739
Hg 0.520 0.520 0.562
Br 0.756 0.756 0.271

Results
Space group: Cm (8)

***

Which one is most stable, and which one is least stable? #one is the most stable of them, while #two is the least stable.

***

#one
TlHg2Br: relaxed, GGA-PBEsol.

Unit cell a=4.486 b=4.486 c=5.609 alpha=90.00 beta=90.00 gamma=90.00
Atoms (fractional coordinates):
Tl 0.000 0.000 0.000
Hg 0.000 0.500 0.500
Hg 0.500 0.000 0.500
Br 0.500 0.500 0.000

Results
Space group: P4/mmm (123)

***

#two
TlHg2Br: relaxed, GGA-PBEsol.

Unit cell a=4.446 b=4.216 c=6.699 alpha=90.00 beta=109.33 gamma=90.00
Atoms (fractional coordinates):
Tl 0.000 0.000 0.000
Hg 0.273 0.000 0.538
Hg 0.802 0.500 0.596
Br 0.557 0.500 0.113

Results
Space group: Pm (6)

***

Which one is most stable, and which one is least stable? #two is the most stable of them, while #one is the least stable.

***

#one
TlHg2Br: relaxed, GGA-PBEsol.

Unit cell a=3.915 b=3.915 c=7.390 alpha=90.00 beta=90.00 gamma=90.00
Atoms (fractional coordinates):
Tl 0.000 0.000 0.000
Hg 0.000 0.000 0.506
Hg 0.500 0.500 0.702
Br 0.500 0.500 0.212

Results
Space group: P4mm (99)

***

#two
TlHg2Br: relaxed, GGA-PBEsol.

Unit cell a=6.510 b=6.510 c=6.510 alpha=140.15 beta=140.15 gamma=57.62
Atoms (fractional coordinates):
Tl 0.000 0.000 0.000
Hg 0.250 0.750 0.500
Hg 0.750 0.250 0.500
Br 0.500 0.500 0.000

Results
Space group: I4/mmm (139)

***

Which one is most stable, and which one is least stable? #two is the most stable of them, while #one is the least stable.

***

#one
TlHgBr: relaxed, GGA-PBEsol.

Unit cell a=6.420 b=6.420 c=6.420 alpha=144.79 beta=144.79 gamma=50.65
Atoms (fractional coordinates):
Tl 0.000 0.000 0.000
Hg 0.322 0.322 0.000
Br 0.644 0.644 0.000

Results
Space group: I4mm (107)

***

#two
TlHgBr: relaxed, GGA-PBEsol.

Unit cell a=4.757 b=4.757 c=4.890 alpha=90.00 beta=90.00 gamma=120.00
Atoms (fractional coordinates):
Tl 0.000 0.000 0.000
Hg 0.667 0.333 0.314
Br 0.333 0.667 0.676

Results
Space group: P3m1 (156)

***

#three
TlHgBr: relaxed, GGA-PBEsol.

Unit cell a=5.261 b=5.261 c=5.261 alpha=60.00 beta=60.00 gamma=60.00
Atoms (fractional coordinates):
Tl 0.000 0.000 0.000
Hg 0.250 0.250 0.250
Br 0.750 0.750 0.750

Results
Space group: F-43m (216)

***

Which one is most stable, and which one is least stable? #one is the most stable of them, while #three is the least stable.

***

#one
HgWBr2: relaxed, GGA-PBEsol.

Unit cell a=5.471 b=5.471 c=6.937 alpha=113.31 beta=113.31 gamma=32.96
Atoms (fractional coordinates):
Hg 0.000 0.000 0.000
W 0.263 0.263 0.000
Br 0.662 0.662 0.681
Br 0.835 0.835 0.319

Results
Space group: Cm (8)

***

#two
HgWBr2: relaxed, GGA-PBEsol.

Unit cell a=3.309 b=3.309 c=10.421 alpha=90.00 beta=90.00 gamma=124.66
Atoms (fractional coordinates):
Hg 0.000 0.000 0.000
W 0.000 0.000 0.500
Br 0.500 0.500 0.304
Br 0.500 0.500 0.696

Results
Space group: Cmmm (65)

***

Which one is most stable, and which one is least stable? #one is the most stable of them, while #two is the least stable.

***

#one
HgW2Br: relaxed, GGA-PBEsol.

Unit cell a=5.792 b=5.792 c=2.988 alpha=102.71 beta=102.71 gamma=123.53
Atoms (fractional coordinates):
Hg 0.000 0.000 0.000
W 0.000 0.500 0.000
W 0.500 0.000 0.000
Br 0.500 0.500 0.000

Results
Space group: C2/m (12)

***

#two
HgW2Br: relaxed, GGA-PBEsol.

Unit cell a=2.863 b=2.863 c=8.413 alpha=90.00 beta=90.00 gamma=90.00
Atoms (fractional coordinates):
Hg 0.000 0.000 0.000
W 0.500 0.500 0.256
W 0.500 0.500 0.744
Br 0.000 0.000 0.500

Results
Space group: P4/mmm (123)

***

Which one is most stable, and which one is least stable? #one is the most stable of them, while #two is the least stable.

***

#one
HgWBr: relaxed, GGA-PBEsol.

Unit cell a=6.774 b=6.774 c=6.774 alpha=154.00 beta=154.00 gamma=37.09
Atoms (fractional coordinates):
Hg 0.000 0.000 0.000
W 0.651 0.651 0.000
Br 0.271 0.271 0.000

Results
Space group: I4mm (107)

***

#two
HgWBr: relaxed, GGA-PBEsol.

Unit cell a=4.479 b=4.479 c=4.479 alpha=60.00 beta=60.00 gamma=60.00
Atoms (fractional coordinates):
Hg 0.000 0.000 0.000
W 0.500 0.500 0.500
Br 0.250 0.250 0.250

Results
Space group: F-43m (216)

***

Which one is most stable, and which one is least stable? #one is the most stable of them, while #two is the least stable.

***

#one
Zn2HgBr: relaxed, GGA-PBEsol.

Unit cell a=3.303 b=3.303 c=7.293 alpha=90.00 beta=90.00 gamma=90.00
Atoms (fractional coordinates):
Zn 0.000 0.000 0.243
Zn 0.000 0.000 0.757
Hg 0.500 0.500 0.000
Br 0.500 0.500 0.500

Results
Space group: P4/mmm (123)

***

#two
Zn2HgBr: relaxed, GGA-PBEsol.

Unit cell a=3.249 b=3.249 c=7.754 alpha=90.00 beta=90.00 gamma=90.00
Atoms (fractional coordinates):
Zn 0.000 0.000 0.000
Zn 0.500 0.500 0.201
Hg 0.500 0.500 0.758
Br 0.000 0.000 0.407

Results
Space group: P4mm (99)

***

Which one is most stable, and which one is least stable? #two is the most stable of them, while #one is the least stable.

***

#one
Zn2HgBr: relaxed, GGA-PBEsol.

Unit cell a=4.880 b=4.880 c=7.112 alpha=123.73 beta=123.73 gamma=43.26
Atoms (fractional coordinates):
Zn 0.224 0.224 0.352
Zn 0.776 0.776 0.648
Hg 0.000 0.000 0.500
Br 0.500 0.500 0.000

Results
Space group: C2/m (12)

***

#two
Zn2HgBr: relaxed, GGA-PBEsol.

Unit cell a=5.062 b=5.062 c=3.636 alpha=103.11 beta=103.11 gamma=103.60
Atoms (fractional coordinates):
Zn 0.000 0.500 0.000
Zn 0.500 0.000 0.000
Hg 0.000 0.000 0.500
Br 0.500 0.500 0.500

Results
Space group: C2/m (12)

***

Which one is most stable, and which one is least stable? #one is the most stable of them, while #two is the least stable.

***

#one
ZrHgBr2: relaxed, GGA-PBEsol.

Unit cell a=10.366 b=10.366 c=10.366 alpha=18.90 beta=18.90 gamma=18.90
Atoms (fractional coordinates):
Zr 0.000 0.000 0.000
Hg 0.500 0.500 0.500
Br 0.271 0.271 0.271
Br 0.729 0.729 0.729

Results
Space group: R-3m (166)

***

#two
ZrHgBr2: relaxed, GGA-PBEsol.

Unit cell a=5.762 b=5.762 c=3.355 alpha=105.46 beta=105.46 gamma=111.29
Atoms (fractional coordinates):
Zr 0.000 0.000 0.000
Hg 0.500 0.500 0.000
Br 0.000 0.500 0.000
Br 0.500 0.000 0.000

Results
Space group: C2/m (12)

***

Which one is most stable, and which one is least stable? #one is the most stable of them, while #two is the least stable.

***

#one
K2IBr: relaxed, GGA-PBEsol.

Unit cell a=7.712 b=7.712 c=7.712 alpha=111.98 beta=111.98 gamma=104.57
Atoms (fractional coordinates):
K 0.102 0.625 0.977
K 0.375 0.352 0.477
K 0.648 0.125 0.023
K 0.875 0.898 0.523
I 0.250 0.750 0.500
I 0.500 0.500 0.000
Br 0.000 0.000 0.000
Br 0.750 0.250 0.500

Results
Space group: I-42d (122)

***

#two
K2IBr: relaxed, GGA-PBEsol.

Unit cell a=5.783 b=5.783 c=5.783 alpha=60.00 beta=60.00 gamma=60.00
Atoms (fractional coordinates):
K 0.250 0.250 0.250
K 0.750 0.750 0.750
I 0.000 0.000 0.000
Br 0.500 0.500 0.500

Results
Space group: Fm-3m (225)

***

Which one is most stable, and which one is least stable? #two is the most stable of them, while #one is the least stable.